Below is a relaxed NaPr2Tl3 crystal, with properties calculated at the PBE level.

theoretical density	8.68	g/cm³
calculated volume	29.27	A^3/atom
distance to the lowest polymorph of the same formula	22	meV per atom
calculated formation energy	-0.29	eV per atom
raw total energy	-19.70	eV for the cell shown
space group	P4/mmm

Cell: 3.7979 3.7979 12.1769 Å, 90.00 90.00 90.00°
Fractional positions:
Na 0.0000 0.0000 0.0000
Pr 0.0000 0.0000 0.3245
Pr 0.0000 0.0000 0.6755
Tl 0.5000 0.5000 0.1548
Tl 0.5000 0.5000 0.5000
Tl 0.5000 0.5000 0.8452